Material: NaCoBi2O6
Method: DFT, PBE+U
State: optimized geometry

```
data_NaCoBi2O6
_chemical_formula_sum 'Na1 Co1 Bi2 O6'
_symmetry_space_group_name_H-M 'P 1'
_symmetry_Int_Tables_number 1
_cell_length_a 5.470
_cell_length_b 5.470
_cell_length_c 6.046
_cell_angle_alpha 63.10
_cell_angle_beta 63.10
_cell_angle_gamma 60.00
loop_
_symmetry_equiv_pos_as_xyz
'x,y,z'
loop_
_atom_site_label
_atom_site_fract_x
_atom_site_fract_y
_atom_site_fract_z
_atom_site_occupancy
Na1 0.801 0.801 0.598 1
Co1 0.328 0.328 0.015 1
Bi1 0.530 0.530 0.411 1
Bi2 0.011 0.011 0.968 1
O1 0.578 0.212 0.224 1
O2 0.212 0.986 0.224 1
O3 0.986 0.578 0.224 1
O4 0.392 0.691 0.783 1
O5 0.691 0.134 0.783 1
O6 0.134 0.392 0.783 1
```

Properties
final energy: -55.010 eV for the cell shown
total magnetic moment: 0.00 μB/atom
SG: No. 146